The following is a PBE calculation of a relaxed structure of CaPa2Pt9, from Alexandria via LeMat-Bulk.

Cell lengths 4.1640, 4.1640, 12.3651 Å; angles 90.00, 90.00, 90.00 degrees
With the nearest neighbours (Å) after each atom.
Space group P4/mmm (No. 123)
Inequivalent atoms, fractional coordinates:
Ca 0.0000 0.0000 0.0000 x1  12 Pt 2.94-2.96
Pa 0.0000 0.0000 0.3275 x2  12 Pt 2.85-2.98
Pt 0.0000 0.5000 0.1698 x4  2 Pa 2.85, 8 Pt 2.91-2.96, 2 Ca 2.96
Pt 0.0000 0.5000 0.5000 x2  8 Pt 2.92-2.94, 4 Pa 2.98
Pt 0.5000 0.5000 0.0000 x1  4 Ca 2.94, 8 Pt 2.96
Pt 0.5000 0.5000 0.3348 x2  8 Pt 2.91-2.92, 4 Pa 2.95

As for the crystal system: tetragonal. The value obtained for the magnetization is 0.0 μB/f.u. The value obtained for the total energy is -7.230 eV per atom. As for the volume: 214.4 Å³/f.u. Its density is 17.488 Mg/m³. As for the formation energy: -949 meV/atom.